(1)
Ho2TmAl3AgGe2 | PBE | optimized geometry

Cell lengths 4.263, 12.128, 7.023 Å; angles 90.00, 90.00, 90.00 degrees
Space group Amm2 (No. 38)
Asymmetric unit:
Ho: 0.000 0.207 0.000
Tm: 0.000 0.000 0.624
Al: 0.500 0.000 0.969
Al: 0.500 0.120 0.328
Ag: 0.000 0.000 0.211
Ge: 0.500 0.166 0.707

Values from the calculation:
As for the total energy: -4.710 eV/atom.


(2)
ErMgNO | PBE | optimized geometry

Cell lengths 3.731, 3.731, 7.677 Å; angles 90.00, 90.00, 90.00 degrees
Space group P4/nmm (No. 129, origin choice 2)
Asymmetric unit:
Er: 0.250 0.250 0.146
Mg: 0.250 0.750 0.500
N: 0.250 0.250 0.630
O: 0.250 0.750 0.000

Values from the calculation:
As for the energy above the lowest structure with this stoichiometry: 318 meV/atom. As for the total energy: -6.665 eV/atom.


(3)
TcAgSn2 | PBE | optimized geometry

Cell lengths 6.865, 6.865, 6.865 Å; angles 90.00, 90.00, 90.00 degrees
Space group F-43m (No. 216)
Asymmetric unit:
Tc: 0.000 0.000 0.000
Ag: 0.250 0.250 0.250
Sn: 0.000 0.000 0.500
Sn: 0.250 0.250 0.750

Values from the calculation:
As for the total energy: -4.700 eV/atom.


(4)
KBeTeIr | PBE | optimized geometry

Cell lengths 6.822, 6.822, 6.822 Å; angles 90.00, 90.00, 90.00 degrees
Space group F-43m (No. 216)
Asymmetric unit:
K: 0.000 0.000 0.000
Be: 0.000 0.000 0.500
Te: 0.250 0.250 0.750
Ir: 0.250 0.250 0.250

Values from the calculation:
As for the energy above the lowest structure with this stoichiometry: 371 meV/atom. As for the total energy: -3.271 eV/atom.


(5)
PrAl4Ga2Pt | PBE | optimized geometry

Cell lengths 4.284, 4.284, 8.267 Å; angles 90.00, 90.00, 90.00 degrees
Space group P4/mmm (No. 123)
Asymmetric unit:
Pr: 0.000 0.000 0.000
Al: 0.000 0.500 0.331
Ga: 0.500 0.500 0.147
Pt: 0.000 0.000 0.500

Values from the calculation:
As for the total energy: -4.662 eV/atom.


(6)
Zr3Pt4Au4 | PBE | optimized geometry

Cell lengths 5.660, 5.660, 13.888 Å; angles 90.00, 90.00, 90.00 degrees
Space group I-42m (No. 121)
Asymmetric unit:
Zr: 0.000 0.000 0.000
Zr: 0.000 0.500 0.250
Pt: 0.000 0.000 0.198
Pt: 0.000 0.500 0.000
Au: 0.170 0.170 0.619

Values from the calculation:
As for the formation energy from the elements: -339 meV per atom. As for the total energy: -6.060 eV/atom.


(7)
Pd2Au2O5 | PBE | optimized geometry

Cell lengths 3.857, 3.857, 7.987 Å; angles 90.00, 90.00, 90.00 degrees
Space group P4/mmm (No. 123)
Asymmetric unit:
Pd: 0.000 0.000 0.240
Au: 0.500 0.500 0.000
Au: 0.500 0.500 0.500
O: 0.000 0.000 0.500
O: 0.000 0.500 0.175

Values from the calculation:
As for the energy above the lowest structure with this stoichiometry: 0 meV/atom. As for the total energy: -4.359 eV/atom.


(8)
LuTlFeSe3 | PBE | optimized geometry

Cell lengths 4.050, 14.866, 10.586 Å; angles 90.00, 90.00, 90.00 degrees
Space group Cmcm (No. 63)
Asymmetric unit:
Lu: 0.000 0.000 0.000
Tl: 0.000 0.249 0.250
Fe: 0.000 0.469 0.750
Se: 0.000 0.066 0.750
Se: 0.000 0.376 0.563

Values from the calculation:
As for the energy above the lowest structure with this stoichiometry: 20 meV/atom. As for the total energy: -5.200 eV/atom.


(9)
ZrCl3 | PBE | optimized geometry

Cell lengths 6.064, 11.611, 6.584 Å; angles 90.00, 90.00, 90.00 degrees
Space group Amm2 (No. 38)
Asymmetric unit:
Zr: 0.247 0.000 0.000
Cl: 0.000 0.000 0.686
Cl: 0.000 0.154 0.158
Cl: 0.500 0.000 0.312
Cl: 0.500 0.153 0.843

Values from the calculation:
As for the total energy: -5.254 eV/atom.


(10)
SrLaZnSe3 | PBE | optimized geometry

Cell lengths 4.338, 13.625, 11.323 Å; angles 90.00, 90.00, 90.00 degrees
Space group Cmcm (No. 63)
Asymmetric unit:
Sr: 0.000 0.247 0.250
La: 0.000 0.000 0.000
Zn: 0.000 0.479 0.750
Se: 0.000 0.078 0.750
Se: 0.000 0.355 0.583

Values from the calculation:
As for the total energy: -4.515 eV/atom.


(11)
RbCo | PBE | optimized geometry

Cell lengths 5.4925, 5.4925, 8.9341 Å; angles 90.00, 90.00, 120.00 degrees
Space group P6_3mc (No. 186)
Asymmetric unit:
Rb: 0.3333 0.6667 0.0000
Co: 0.3333 0.6667 0.6247

Values from the calculation:
As for the energy above the lowest structure with this stoichiometry: 200 meV/atom. As for the total energy: -2.348 eV/atom.


(12)
LiNpAgSe3 | PBE | optimized geometry

Cell lengths 4.111, 12.989, 10.758 Å; angles 90.00, 90.00, 90.00 degrees
Space group Cmcm (No. 63)
Asymmetric unit:
Li: 0.000 0.250 0.250
Np: 0.000 0.000 0.000
Ag: 0.000 0.471 0.750
Se: 0.000 0.099 0.750
Se: 0.000 0.357 0.555

Values from the calculation:
As for the total energy: -5.509 eV/atom.


(13)
Zr3Co4As4 | PBE | optimized geometry

Cell lengths 6.414, 3.856, 7.164 Å; angles 90.00, 91.26, 90.00 degrees
Space group Pm (No. 6)
Asymmetric unit:
Zr: 0.000 0.000 0.000
Zr: 0.038 0.500 0.623
Zr: 0.526 0.500 0.479
Co: 0.132 0.500 0.248
Co: 0.354 0.000 0.747
Co: 0.658 0.500 0.859
Co: 0.861 0.000 0.368
As: 0.242 0.000 0.399
As: 0.308 0.500 0.945
As: 0.734 0.000 0.690
As: 0.762 0.500 0.178

Values from the calculation:
As for the total energy: -7.306 eV/atom.


(14)
TbHoCd6 | PBE | optimized geometry

Cell lengths 6.5826, 6.5826, 4.9737 Å; angles 90.00, 90.00, 120.00 degrees
Space group P-6m2 (No. 187)
Asymmetric unit:
Tb: 0.0000 0.0000 0.0000
Ho: 0.6667 0.3333 0.5000
Cd: 0.0072 0.5036 0.0000
Cd: 0.1712 0.3424 0.5000

Values from the calculation:
As for the formation energy from the elements: -291 meV per atom. As for the total energy: -2.114 eV/atom.


(15)
DyPdO3 | PBE | optimized geometry

Cell lengths 5.6206, 5.6206, 14.2188 Å; angles 90.00, 90.00, 120.00 degrees
Space group R-3 (No. 148, hexagonal axes)
Asymmetric unit:
Dy: 0.0000 0.0000 0.1348
Pd: 0.0000 0.0000 0.3457
O: 0.0178 0.3041 0.2532

Values from the calculation:
As for the total energy: -6.701 eV/atom.


(16)
Y2PdO4 | PBE | optimized geometry

Cell lengths 9.491, 9.491, 9.491 Å; angles 90.00, 90.00, 90.00 degrees
Space group Fd-3m (No. 227, origin choice 2)
Asymmetric unit:
Y: 0.000 0.000 0.000
Pd: 0.125 0.125 0.625
O: 0.011 0.011 0.239

Values from the calculation:
As for the energy above the lowest structure with this stoichiometry: 359 meV/atom. As for the total energy: -7.689 eV/atom.


(17)
PrTlCdS3 | PBE | optimized geometry

Cell lengths 17.324, 4.211, 9.168 Å; angles 90.00, 105.41, 90.00 degrees
Space group C2/m (No. 12)
Asymmetric unit:
Pr: 0.174 0.000 0.105
Tl: 0.135 0.000 0.567
Cd: 0.002 0.500 0.213
S: 0.000 0.000 0.000
S: 0.000 0.500 0.500
S: 0.158 0.500 0.298
S: 0.160 0.500 0.880

Values from the calculation:
As for the energy above the lowest structure with this stoichiometry: 52 meV/atom. As for the total energy: -4.477 eV/atom.


(18)
NbZnCdCu | PBE | optimized geometry

Cell lengths 6.392, 6.392, 6.392 Å; angles 90.00, 90.00, 90.00 degrees
Space group F-43m (No. 216)
Asymmetric unit:
Nb: 0.000 0.000 0.000
Zn: 0.250 0.250 0.250
Cd: 0.250 0.250 0.750
Cu: 0.000 0.000 0.500

Values from the calculation:
As for the formation energy from the elements: 305 meV per atom. As for the energy above the lowest structure with this stoichiometry: 0 meV/atom. As for the total energy: -3.688 eV/atom.


(19)
LaHf | PBE | optimized geometry

Cell lengths 6.739, 6.739, 6.739 Å; angles 90.00, 90.00, 90.00 degrees
Space group F-43m (No. 216)
Asymmetric unit:
La: 0.000 0.000 0.000
Hf: 0.250 0.250 0.250

Values from the calculation:
As for the formation energy from the elements: 1974 meV per atom. As for the energy above the lowest structure with this stoichiometry: 1672 meV/atom. As for the total energy: -5.465 eV/atom.


(20)
Tl2ZnH12Se2O14 | PBE | optimized geometry

Cell lengths 6.155, 12.317, 9.164 Å; angles 90.00, 105.15, 90.00 degrees
Space group P2_1/c (No. 14)
Asymmetric unit:
Tl: 0.150 0.160 0.357
Zn: 0.500 0.000 0.000
H: 0.154 0.554 0.593
H: 0.166 0.643 0.471
H: 0.177 0.090 0.792
H: 0.404 0.130 0.753
H: 0.434 0.595 0.229
H: 0.490 0.188 0.145
Se: 0.234 0.632 0.910
O: 0.067 0.737 0.922
O: 0.099 0.555 0.763
O: 0.193 0.564 0.496
O: 0.279 0.556 0.065
O: 0.333 0.117 0.837
O: 0.458 0.112 0.171
O: 0.477 0.679 0.883

Values from the calculation:
As for the total energy: -4.933 eV/atom.